1.
A geometry-optimized CdCu2As structure. Source: Alexandria via LeMat-Bulk, functional GGA-PBE.

Summary:
Its crystal system is orthorhombic. The space-group type is Imm2. The energy of formation from the pure elements is 0.1570 eV per atom. For the energy above the most stable polymorph in this dataset, the calculation gives 44 meV per atom.

```
4
Lattice="-1.4092 2.1595 5.6150 1.4092 -2.1595 5.6150 1.4092 2.1595 -5.6150" Properties=species:S:1:pos:R:3 pbc="T T T"
Cd 0.0000 0.0000 0.0000
Cu 1.4092 0.0000 3.7937
Cu 0.0000 0.0000 6.2050
As 0.0000 2.1595 2.7441
```


2.
A geometry-optimized LiSc3Co2 structure. Source: Alexandria via LeMat-Bulk, functional GGA-PBE.

Summary:
Its crystal system is tetragonal. The space-group type is P4/mmm. The energy of formation from the pure elements is -0.2354 eV per atom.

```
6
Lattice="3.1392 0.0000 0.0000 0.0000 3.1392 0.0000 0.0000 0.0000 10.6694" Properties=species:S:1:pos:R:3 pbc="T T T"
Li 0.0000 0.0000 0.0000
Sc 1.5696 1.5696 2.2644
Sc 1.5696 1.5696 5.3347
Sc 1.5696 1.5696 8.4050
Co 0.0000 0.0000 3.7179
Co 0.0000 0.0000 6.9516
```


3.
A geometry-optimized NbTl3Cu2O6 structure. Source: Alexandria via LeMat-Bulk, functional GGA-PBE.

Summary:
Its crystal system is trigonal. The space-group type is P-3m1. As for the uncorrected formation energy: -1.06 eV/atom.

```
12
Lattice="5.9910 0.0000 0.0000 -2.9955 5.1883 0.0000 0.0000 0.0000 7.1323" Properties=species:S:1:pos:R:3 pbc="T T T"
Nb 0.0000 0.0000 0.0000
Tl 0.0000 0.0000 3.5662
Tl 0.0000 3.4589 1.6895
Tl 2.9955 1.7294 5.4428
Cu 0.0000 3.4589 5.9151
Cu 2.9955 1.7294 1.2172
O 0.0000 1.6092 5.9050
O -1.6018 4.3837 5.9050
O 1.3936 0.8046 1.2273
O 1.6018 4.3837 5.9050
O 4.5973 0.8046 1.2273
O 2.9955 3.5791 1.2273
```


4.
A geometry-optimized Zn2SnPb structure. Source: Alexandria via LeMat-Bulk, functional GGA-PBE.

Summary:
Its crystal system is trigonal. The space-group type is R-3m. The energy of formation from the pure elements is 0.1442 eV per atom. For the energy above the most stable polymorph in this dataset, the calculation gives 4 meV per atom.

```
4
Lattice="2.2381 1.2922 5.5220 -2.2381 1.2922 5.5220 0.0000 -2.5843 5.5220" Properties=species:S:1:pos:R:3 pbc="T T T"
Zn 0.0000 0.0000 3.9626
Zn 0.0000 0.0000 12.6033
Sn 0.0000 0.0000 8.2829
Pb 0.0000 0.0000 0.0000
```


5.
A geometry-optimized HgMoAs2 structure. Source: Alexandria via LeMat-Bulk, functional GGA-PBE.

Summary:
Its crystal system is tetragonal. The space-group type is P4mm. The energy of formation from the pure elements is 0.2976 eV per atom.

```
4
Lattice="3.2820 0.0000 0.0000 0.0000 3.2820 0.0000 0.0000 0.0000 7.4678" Properties=species:S:1:pos:R:3 pbc="T T T"
Hg 0.0000 0.0000 0.0000
Mo 1.6410 1.6410 2.0155
As 0.0000 0.0000 3.0897
As 1.6410 1.6410 4.7050
```


6.
A geometry-optimized Ac3TmTl4 structure. Source: Alexandria via LeMat-Bulk, functional GGA-PBE.

Summary:
Its crystal system is orthorhombic. The space-group type is Imm2. The energy of formation from the pure elements is -0.1948 eV per atom. For the energy above the most stable polymorph in this dataset, the calculation gives 141 meV per atom.

```
8
Lattice="-3.4808 5.7384 3.5057 3.4808 -5.7384 3.5057 3.4808 5.7384 -3.5057" Properties=species:S:1:pos:R:3 pbc="T T T"
Ac 0.0000 0.0000 0.0000
Ac 3.4808 -2.3543 1.7177
Ac 3.4808 2.3543 1.7177
Tm 0.0000 5.7384 2.2733
Tl 3.4808 2.9812 -1.6381
Tl 1.9743 5.7384 -0.0562
Tl 1.5065 0.0000 3.4495
Tl 0.0000 2.7572 1.8676
```


7.
A geometry-optimized TcNi4Ir structure. Source: Alexandria via LeMat-Bulk, functional GGA-PBE.

Summary:
Its crystal system is cubic. The space-group type is F-43m. The energy of formation from the pure elements is 0.0643 eV per atom. For the energy above the most stable polymorph in this dataset, the calculation gives 97 meV per atom.

```
6
Lattice="0.0000 3.2969 3.2969 3.2969 0.0000 3.2969 3.2969 3.2969 0.0000" Properties=species:S:1:pos:R:3 pbc="T T T"
Tc 0.0000 0.0000 0.0000
Ni 2.4724 2.4724 2.4724
Ni 4.1214 4.1214 2.4724
Ni 4.1214 2.4724 4.1214
Ni 2.4724 4.1214 4.1214
Ir 4.9453 4.9453 4.9453
```


8.
A geometry-optimized Tl2NiCl structure. Source: Alexandria via LeMat-Bulk, functional GGA-PBE.

Summary:
Its crystal system is cubic. The space-group type is F-43m. For the energy above the most stable polymorph in this dataset, the calculation gives 436 meV per atom. As for the uncorrected formation energy: 0.31 eV/atom.

```
4
Lattice="0.0000 3.6376 3.6376 3.6376 0.0000 3.6376 3.6376 3.6376 0.0000" Properties=species:S:1:pos:R:3 pbc="T T T"
Tl 0.0000 0.0000 0.0000
Tl 1.8188 1.8188 1.8188
Ni 3.6376 3.6376 3.6376
Cl 5.4563 5.4563 5.4563
```


9.
A geometry-optimized TbHoTlCu structure. Source: Alexandria via LeMat-Bulk, functional GGA-PBE.

Summary:
Its crystal system is cubic. The space-group type is F-43m. The energy of formation from the pure elements is -0.2461 eV per atom.

```
4
Lattice="0.0000 3.6610 3.6610 3.6610 0.0000 3.6610 3.6610 3.6610 0.0000" Properties=species:S:1:pos:R:3 pbc="T T T"
Tb 0.0000 0.0000 0.0000
Ho 3.6610 3.6610 3.6610
Tl 5.4915 5.4915 5.4915
Cu 1.8305 1.8305 1.8305
```


10.
A geometry-optimized Ba2SiMo structure. Source: Alexandria via LeMat-Bulk, functional GGA-PBE.

Summary:
Its crystal system is tetragonal. The space-group type is I-42d. As for the uncorrected formation energy: 0.55 eV/atom.

```
8
Lattice="-6.0848 6.0848 2.4131 6.0848 -6.0848 2.4131 6.0848 6.0848 -2.4131" Properties=species:S:1:pos:R:3 pbc="T T T"
Ba 0.9508 3.0424 0.6033
Ba -3.0424 5.1341 1.8098
Ba -0.9508 9.1272 0.6033
Ba 3.0424 7.0356 1.8098
Si 0.0000 0.0000 0.0000
Si 0.0000 6.0848 1.2065
Mo 6.0848 0.0000 1.2065
Mo 0.0000 0.0000 2.4131
```


11.
A geometry-optimized Nd12SmEr5 structure. Source: Alexandria via LeMat-Bulk, functional GGA-PBE.

Summary:
Its crystal system is orthorhombic. The space-group type is Cmmm. The energy of formation from the pure elements is 0.0209 eV per atom.

```
18
Lattice="7.6798 -7.7134 0.0000 7.6798 7.7134 0.0000 0.0000 0.0000 5.1436" Properties=species:S:1:pos:R:3 pbc="T T T"
Nd 5.1519 5.1456 2.5718
Nd 2.5216 0.0000 0.0000
Nd 5.1428 2.5786 0.0000
Nd 10.2077 5.1456 2.5718
Nd 5.1324 0.0000 2.5718
Nd 10.2168 2.5786 0.0000
Nd 5.1428 -2.5786 0.0000
Nd 10.2272 0.0000 2.5718
Nd 5.1519 -5.1456 2.5718
Nd 10.2168 -2.5786 0.0000
Nd 12.8380 0.0000 0.0000
Nd 10.2077 -5.1456 2.5718
Sm 7.6798 0.0000 0.0000
Er 0.0000 0.0000 2.5718
Er 7.6798 5.1419 0.0000
Er 7.6798 2.5847 2.5718
Er 7.6798 -2.5847 2.5718
Er 7.6798 -5.1419 0.0000
```


12.
A geometry-optimized Re2SnHgW structure. Source: Alexandria via LeMat-Bulk, functional GGA-PBE.

Summary:
Its crystal system is tetragonal. The space-group type is P4/mmm. The energy of formation from the pure elements is 3.1878 eV per atom.

```
5
Lattice="4.9402 0.0000 0.0000 0.0000 4.9402 0.0000 0.0000 0.0000 4.9381" Properties=species:S:1:pos:R:3 pbc="T T T"
Re 0.0000 2.4701 0.0000
Re 2.4701 0.0000 0.0000
Sn 0.0000 0.0000 2.4691
Hg 0.0000 0.0000 0.0000
W 2.4701 2.4701 2.4691
```


Number 1: E -3.2823 eV/atom, calculated density 7.64 g/cm3. Number 2: E -6.0888 eV/atom, calculated density 4.10 g/cm3. Number 3: E -5.6570 eV/atom, calculated density 6.96 g/cm3. Number 4: E -2.4205 eV/atom, calculated density 7.92 g/cm3. Number 5: E -4.8104 eV/atom, calculated density 9.21 g/cm3. Number 6: E -3.4775 eV/atom, calculated density 9.89 g/cm3. Number 7: E -6.9944 eV/atom, calculated density 12.16 g/cm3. Number 8: E -2.7794 eV/atom, calculated density 8.68 g/cm3. Number 9: E -4.1638 eV/atom, calculated density 10.01 g/cm3. Number 10: E -4.4730 eV/atom, calculated density 3.70 g/cm3. Number 11: E -4.6873 eV/atom, calculated density 7.41 g/cm3. Number 12: E -5.2430 eV/atom, calculated density 12.06 g/cm3.